No. 1
Material: TaMn2Te
Method: DFT, PBE
State: relaxed

Lattice parameters (Å, degrees): 4.1261 4.1261 3.7565 90.00 90.00 89.97
Last column: nearest neighbours and their distance in Å.
Element x y z (fractional)
Mn1 0.0000 0.0000 0.0000  4 Ta 2.79, 4 Te 2.79, 4 Mn 2.92
Mn2 0.5000 0.5000 0.0000  4 Te 2.79, 4 Ta 2.79, 4 Mn 2.92
Ta1 0.5000 0.0000 0.5000  8 Mn 2.79, 4 Te 2.92
Te1 0.0000 0.5000 0.5000  8 Mn 2.79, 4 Ta 2.92

Fermi-level density of states: 0.48 states/eV per atom
Uncorrected formation energy: 210 meV/atom
Calculated total energy: -0.2985 hartree per atom

***

No. 2
Material: TaMn2Te
Method: DFT, PBE
State: relaxed

Lattice parameters (Å, degrees): 3.0192 3.0192 8.0849 90.00 90.00 106.48
Last column: nearest neighbours and their distance in Å.
Element x y z (fractional)
Mn1 0.0000 0.0000 0.0150  2 Ta 2.62, 2 Te 2.80
Mn2 0.0000 0.0000 0.4850  2 Ta 2.62, 2 Te 2.80
Ta1 0.5000 0.5000 0.2500  4 Mn 2.62
Te1 0.5000 0.5000 0.7500  4 Mn 2.80, 4 Te 3.02

Fermi-level density of states: 1.08 states/eV per atom
Uncorrected formation energy: 390 meV/atom
Calculated total energy: -0.2919 hartree per atom

***

No. 3
Material: TaMn3Te
Method: DFT, PBE
State: relaxed

Lattice parameters (Å, degrees): 4.7455 4.7455 4.7455 90.00 90.00 90.00
Last column: nearest neighbours and their distance in Å.
Element x y z (fractional)
Te1 0.5000 0.5000 0.5000  12 Mn 3.36
Mn1 0.0000 0.5000 0.0000  2 Ta 2.37
Mn2 0.0000 0.0000 0.5000  2 Ta 2.37
Mn3 0.5000 0.0000 0.0000  2 Ta 2.37
Ta1 0.0000 0.0000 0.0000  6 Mn 2.37

Polymorph energy (0 for the lowest one): 0.0 kJ/mol of formula units
Fermi-level density of states: 1.02 states/eV per atom
Uncorrected formation energy: 1202 meV/atom
Calculated total energy: -0.2682 hartree per atom

***

No. 4
Material: TaMn2Te
Method: DFT, PBE
State: relaxed

Lattice parameters (Å, degrees): 5.0515 5.0515 5.0515 135.01 135.01 65.52
Last column: nearest neighbours and their distance in Å.
Element x y z (fractional)
Mn1 0.0000 0.0000 0.0000  4 Ta 2.73, 4 Mn 2.87, 4 Te 2.87
Mn2 0.2500 0.7500 0.5000  4 Te 2.73, 4 Ta 2.87, 4 Mn 2.87
Ta1 0.5000 0.5000 0.0000  8 Mn 2.73-2.87, 4 Te 2.87
Te1 0.7500 0.2500 0.5000  8 Mn 2.73-2.87, 4 Ta 2.87

Fermi-level density of states: 0.90 states/eV per atom
Uncorrected formation energy: 261 meV/atom
Calculated total energy: -0.2966 hartree per atom

***

No. 5
Material: TaMnTe2
Method: DFT, PBE
State: relaxed

Lattice parameters (Å, degrees): 9.3654 9.3654 9.3654 21.93 21.93 21.93
Last column: nearest neighbours and their distance in Å.
Element x y z (fractional)
Te1 0.9024 0.9024 0.9024  1 Mn 2.67, 3 Ta 2.80
Te2 0.0976 0.0976 0.0976  1 Mn 2.67, 3 Ta 2.80
Mn1 0.0000 0.0000 0.0000  2 Te 2.67
Ta1 0.5000 0.5000 0.5000  6 Te 2.80

Fermi-level density of states: 0.52 states/eV per atom
Uncorrected formation energy: 222 meV/atom
Calculated total energy: -0.2427 hartree per atom

***

No. 6
Material: Ta3MnTe
Method: DFT, PBE
State: relaxed

Lattice parameters (Å, degrees): 4.9917 4.9917 4.9917 90.00 90.00 90.00
Last column: nearest neighbours and their distance in Å.
Element x y z (fractional)
Te1 0.0000 0.0000 0.0000  6 Ta 2.50
Mn1 0.5000 0.5000 0.5000  12 Ta 3.53
Ta1 0.0000 0.5000 0.0000  2 Te 2.50
Ta2 0.0000 0.0000 0.5000  2 Te 2.50
Ta3 0.5000 0.0000 0.0000  2 Te 2.50

Polymorph energy (0 for the lowest one): 565.6 kJ/mol of formula units
Fermi-level density of states: 1.51 states/eV per atom
Uncorrected formation energy: 1918 meV/atom
Calculated total energy: -0.2813 hartree per atom

***

calculated total energy of number 1 (TaMn2Te)? -0.2985 hartree per atom

***

Repeat the first record exactly.
Material: TaMn2Te
Method: DFT, PBE
State: relaxed

Lattice parameters (Å, degrees): 4.1261 4.1261 3.7565 90.00 90.00 89.97
Last column: nearest neighbours and their distance in Å.
Element x y z (fractional)
Mn1 0.0000 0.0000 0.0000  4 Ta 2.79, 4 Te 2.79, 4 Mn 2.92
Mn2 0.5000 0.5000 0.0000  4 Te 2.79, 4 Ta 2.79, 4 Mn 2.92
Ta1 0.5000 0.0000 0.5000  8 Mn 2.79, 4 Te 2.92
Te1 0.0000 0.5000 0.5000  8 Mn 2.79, 4 Ta 2.92

Fermi-level density of states: 0.48 states/eV per atom
Uncorrected formation energy: 210 meV/atom
Calculated total energy: -0.2985 hartree per atom

***

Which value of calculated total energy does entry 5 give? -0.2427 hartree per atom

***

uncorrected formation energy of number 6 (Ta3MnTe)? 1918 meV/atom